Record 1
This record from OQMD via LeMat-Bulk describes ZnCoSeO after structural relaxation. The functional is PBE+U.

a = 6.3341 Å, b = 6.4361 Å, c = 12.8489 Å
α = 90.00°, β = 90.00°, γ = 90.00°
Sites, in units of the cell vectors:
Co 0.7280 0.5781 0.0641
Co 0.2280 0.9219 0.0641
Co 0.7280 0.0781 0.4359
Co 0.2280 0.4219 0.4359
Co 0.7720 0.5781 0.5641
Co 0.2720 0.9219 0.5641
Co 0.7720 0.0781 0.9359
Co 0.2720 0.4219 0.9359
O 0.7692 0.6224 0.2161
O 0.2692 0.8776 0.2161
O 0.7692 0.1224 0.2839
O 0.2692 0.3776 0.2839
O 0.7308 0.6224 0.7161
O 0.2308 0.8776 0.7161
O 0.7308 0.1224 0.7839
O 0.2308 0.3776 0.7839
Se 0.5253 0.2492 0.0515
Se 0.0253 0.2508 0.0515
Se 0.5253 0.7492 0.4485
Se 0.0253 0.7508 0.4485
Se 0.9747 0.2492 0.5515
Se 0.4747 0.2508 0.5515
Se 0.9747 0.7492 0.9485
Se 0.4747 0.7508 0.9485
Zn 0.4542 0.1359 0.2382
Zn 0.9542 0.3641 0.2382
Zn 0.4542 0.6359 0.2618
Zn 0.9542 0.8641 0.2618
Zn 0.0458 0.1359 0.7382
Zn 0.5458 0.3641 0.7382
Zn 0.0458 0.6359 0.7618
Zn 0.5458 0.8641 0.7618

The density comes out at 5562 kg/m³. The value obtained for the total magnetic moment is 0.690 μB/atom. As for the space group: Pbca, No. 61. The calculation puts the total energy at -17.2 eV per formula unit.



Record 2
This record from OQMD via LeMat-Bulk describes ZnCoSeO after structural relaxation. The functional is PBE+U.

a = 6.5665 Å, b = 6.5665 Å, c = 5.7924 Å
α = 90.00°, β = 90.00°, γ = 30.65°
Sites, in units of the cell vectors:
Co 0.9417 0.9417 0.3744
Co 0.0583 0.0583 0.8744
O 0.9236 0.9236 0.0351
O 0.0764 0.0764 0.5351
Se 0.6743 0.6743 0.0291
Se 0.3257 0.3257 0.5291
Zn 0.6580 0.6580 0.4540
Zn 0.3419 0.3419 0.9540

The density comes out at 5721 kg/m³. The value obtained for the total magnetic moment is 0.750 μB/atom. As for the space group: Cmc2_1, No. 36. The calculation puts the total energy at -17.5 eV per formula unit.



Record 3
This record from OQMD via LeMat-Bulk describes ZnCoSeO after structural relaxation. The functional is PBE+U.

a = 4.1287 Å, b = 4.1287 Å, c = 6.5258 Å
α = 90.00°, β = 90.00°, γ = 90.00°
Sites, in units of the cell vectors:
Co 0.7500 0.2500 0.0000
Co 0.2500 0.7500 0.0000
O 0.2500 0.2500 0.4678
O 0.7500 0.7500 0.5322
Se 0.2500 0.2500 0.1993
Se 0.7500 0.7500 0.8007
Zn 0.7500 0.7500 0.2478
Zn 0.2500 0.2500 0.7522

The density comes out at 6547 kg/m³. The value obtained for the total magnetic moment is 0.256 μB/atom. As for the space group: P4/nmm, No. 129. The calculation puts the total energy at -14.7 eV per formula unit.